This record from Alexandria via LeMat-Bulk describes a relaxed BaV2Pb2O7 crystal. The functional is GGA+U.

It has space group R32 (No. 155, hexagonal axes), with a = 5.7887 Å, b = 5.7887 Å, c = 24.3188 Å, α = 90.00°, β = 90.00° and γ = 120.00°. The inequivalent atoms are Ba at (0.0000, 0.0000, 0.0000), V at (0.0000, 0.0000, 0.4249), Pb at (0.0000, 0.0000, 0.2125), O at (0.0000, 0.0000, 0.5000) and O at (0.0168, 0.3878, 0.0697).

As for the size of the total moment: 6.0 Bohr magnetons per cell. The calculation puts the final energy at -243.1 eV/cell. The mass density comes out at 5.40 g cm⁻³.